{"formula": "Tb2Se2I", "functional": "PBE-GGA", "state": "optimized geometry", "lattice_angstrom": [[-3.283, -2.091, 1.735], [0.883, -4.330, -3.548], [5.266, 0.456, 5.280]], "species": ["Tb", "Tb", "I", "Se", "Se"], "frac_coords": [[0.687, 0.187, 0.374], [0.313, 0.813, 0.626], [0.000, 0.000, 0.000], [0.329, 0.329, 0.657], [0.671, 0.671, 0.343]], "m_tot_mub_per_fu": 0.00, "space_group": "Immm", "raw_formation_energy_mev_per_atom": -1626}

=====

{"formula": "NbPdPtRh", "functional": "PBE-GGA", "state": "optimized geometry", "lattice_angstrom": [[3.983, 0.000, 0.000], [0.000, 3.983, 0.000], [-1.991, -1.991, 3.920]], "species": ["Pt", "Pd", "Nb", "Rh"], "frac_coords": [[0.500, 0.500, 0.000], [0.750, 0.250, 0.500], [0.250, 0.750, 0.500], [0.000, 0.000, 0.000]], "m_tot_mub_per_fu": 0.00, "space_group": "I-4m2", "ef_ev_per_atom": -0.530}

=====

{"formula": "InWBr2", "functional": "PBE-GGA", "state": "optimized geometry", "lattice_angstrom": [[-2.474, 2.053, 4.908], [-0.020, -5.481, -0.887], [2.299, -0.373, 2.569]], "species": ["W", "Br", "Br", "In"], "frac_coords": [[0.500, 0.000, 0.500], [0.000, 0.000, 0.000], [0.000, 0.500, 0.500], [0.500, 0.500, 0.000]], "m_tot_mub_per_fu": 2.87, "space_group": "C2/m", "raw_formation_energy_mev_per_atom": 871, "relative_energy_mev_per_atom": 749.1}

=====

{"formula": "LiInO3", "functional": "PBE-GGA", "state": "optimized geometry", "lattice_angstrom": [[3.613, 0.000, 0.000], [0.000, 3.613, 0.000], [0.000, 0.000, 3.613]], "species": ["O", "O", "O", "Li", "In"], "frac_coords": [[0.000, 0.500, 0.000], [0.000, 0.000, 0.500], [0.500, 0.000, 0.000], [0.000, 0.000, 0.000], [0.500, 0.500, 0.500]], "m_tot_mub_per_fu": 2.02, "space_group": "Pm-3m", "raw_formation_energy_mev_per_atom": -456}

=====

{"formula": "Sr2PtPbO6", "functional": "PBE-GGA", "state": "optimized geometry", "lattice_angstrom": [[-0.075, 0.140, -5.823], [5.846, -1.056, -0.101], [-1.465, -8.103, -0.086]], "species": ["Sr", "Sr", "Sr", "Sr", "O", "O", "O", "O", "O", "O", "O", "O", "O", "O", "O", "O", "Pt", "Pt", "Pb", "Pb"], "frac_coords": [[0.987, 0.051, 0.751], [0.487, 0.449, 0.251], [0.013, 0.949, 0.249], [0.513, 0.551, 0.749], [0.716, 0.304, 0.951], [0.284, 0.696, 0.049], [0.216, 0.196, 0.451], [0.596, 0.031, 0.262], [0.191, 0.217, 0.052], [0.809, 0.783, 0.948], [0.784, 0.804, 0.549], [0.904, 0.531, 0.238], [0.404, 0.969, 0.738], [0.096, 0.469, 0.762], [0.691, 0.283, 0.552], [0.309, 0.717, 0.448], [0.000, 0.500, 0.000], [0.500, 0.000, 0.500], [0.000, 0.500, 0.500], [0.500, 0.000, 0.000]], "m_tot_mub_per_fu": 0.00, "space_group": "P2_1/c", "raw_formation_energy_mev_per_atom": -1608}

=====

{"formula": "AcLa3Nd2S6", "functional": "PBE-GGA", "state": "optimized geometry", "lattice_angstrom": [[-4.438, -3.527, 4.444], [6.933, 0.858, 1.755], [-2.345, 6.715, 1.034]], "species": ["Ac", "La", "La", "La", "S", "S", "S", "S", "S", "S", "Nd", "Nd"], "frac_coords": [[0.000, 0.000, 0.000], [0.165, 0.835, 0.500], [0.500, 0.500, 0.500], [0.835, 0.165, 0.500], [0.259, 0.259, 0.752], [0.084, 0.425, 0.251], [0.575, 0.916, 0.749], [0.916, 0.575, 0.749], [0.741, 0.741, 0.248], [0.425, 0.084, 0.251], [0.333, 0.667, 0.000], [0.667, 0.333, 0.000]], "m_tot_mub_per_fu": 0.00, "space_group": "C2/m", "raw_formation_energy_mev_per_atom": -2093}

=====

{"formula": "CeCdInNi", "functional": "PBE-GGA", "state": "optimized geometry", "lattice_angstrom": [[4.931, 0.000, 0.000], [2.466, 4.270, 0.000], [2.466, 1.423, 4.026]], "species": ["Ni", "In", "Cd", "Ce"], "frac_coords": [[0.250, 0.250, 0.250], [0.500, 0.500, 0.500], [0.750, 0.750, 0.750], [0.000, 0.000, 0.000]], "m_tot_mub_per_fu": 0.42, "space_group": "F-43m", "ef_ev_per_atom": -0.194}

=====

{"formula": "Sm3Ho13", "functional": "PBE-GGA", "state": "optimized geometry", "lattice_angstrom": [[-1.820, -3.753, 5.730], [6.109, 1.800, 3.110], [-4.379, 8.100, 3.914]], "species": ["Ho", "Ho", "Ho", "Ho", "Ho", "Ho", "Ho", "Ho", "Ho", "Ho", "Ho", "Ho", "Ho", "Sm", "Sm", "Sm"], "frac_coords": [[0.499, 0.000, 0.749], [0.499, 0.501, 0.749], [0.749, 0.749, 0.500], [0.251, 0.749, 0.000], [0.000, 0.501, 0.251], [0.251, 0.251, 0.500], [0.749, 0.251, 0.500], [0.499, 0.501, 0.251], [0.251, 0.251, 0.000], [0.251, 0.749, 0.500], [0.000, 0.501, 0.749], [0.749, 0.749, 0.000], [0.499, 0.000, 0.251], [0.000, 0.000, 0.749], [0.000, 0.000, 0.251], [0.749, 0.251, 0.000]], "m_tot_mub_per_fu": 0.00, "space_group": "Amm2", "ef_ev_per_atom": 0.017, "relative_energy_mev_per_atom": 6.4}

=====

{"formula": "Cs2GeSe2", "functional": "PBE-GGA", "state": "optimized geometry", "lattice_angstrom": [[7.271, 0.000, 0.000], [0.000, 7.271, 0.000], [3.636, 3.636, 4.012]], "species": ["Cs", "Cs", "Se", "Se", "Ge"], "frac_coords": [[0.250, 0.750, 0.500], [0.750, 0.250, 0.500], [0.310, 0.310, 0.381], [0.690, 0.690, 0.619], [0.000, 0.000, 0.000]], "m_tot_mub_per_fu": 0.00, "space_group": "I4/mmm", "raw_formation_energy_mev_per_atom": -457, "relative_energy_mev_per_atom": 416.8}

=====

{"formula": "KBe2Cr", "functional": "PBE-GGA", "state": "optimized geometry", "lattice_angstrom": [[-2.848, 0.782, -2.507], [-1.622, -1.972, 1.228], [-2.575, 4.701, 4.392]], "species": ["Be", "Be", "Cr", "K"], "frac_coords": [[0.000, 0.125, 0.104], [0.500, 0.119, 0.281], [0.000, 0.616, 0.352], [0.500, 0.639, 0.764]], "m_tot_mub_per_fu": 2.83, "space_group": "Pm", "ef_ev_per_atom": 0.789, "relative_energy_mev_per_atom": 187.6}

=====

{"formula": "Nd13Th3", "functional": "PBE-GGA", "state": "optimized geometry", "lattice_angstrom": [[-5.079, -2.344, 4.702], [1.138, -8.182, -2.849], [6.110, -0.812, 6.195]], "species": ["Nd", "Nd", "Nd", "Nd", "Nd", "Nd", "Nd", "Nd", "Nd", "Nd", "Nd", "Nd", "Nd", "Th", "Th", "Th"], "frac_coords": [[0.248, 0.540, 0.460], [0.500, 0.798, 0.202], [0.500, 0.715, 0.793], [0.753, 0.455, 0.041], [0.753, 0.959, 0.545], [0.247, 0.455, 0.041], [0.000, 0.704, 0.793], [0.752, 0.540, 0.460], [0.000, 0.207, 0.296], [0.000, 0.801, 0.199], [0.500, 0.207, 0.285], [0.247, 0.959, 0.545], [0.500, 0.284, 0.716], [0.757, 0.046, 0.954], [0.243, 0.046, 0.954], [0.000, 0.283, 0.717]], "m_tot_mub_per_fu": 0.00, "space_group": "Amm2", "ef_ev_per_atom": 0.056}

=====

{"formula": "Pm4Dy7In", "functional": "PBE-GGA", "state": "optimized geometry", "lattice_angstrom": [[-4.249, 2.696, 3.008], [-9.331, -6.869, -1.313], [-0.786, -2.013, 6.407]], "species": ["Dy", "Dy", "Dy", "Dy", "Dy", "Dy", "Dy", "Pm", "Pm", "Pm", "Pm", "In"], "frac_coords": [[0.632, 0.517, 0.219], [0.096, 0.724, 0.085], [0.368, 0.483, 0.781], [0.201, 0.077, 0.521], [0.799, 0.923, 0.479], [0.904, 0.276, 0.915], [0.500, 0.000, 0.000], [0.832, 0.634, 0.702], [0.628, 0.231, 0.513], [0.372, 0.769, 0.487], [0.168, 0.366, 0.298], [0.000, 0.000, 0.000]], "m_tot_mub_per_fu": 0.00, "space_group": "C2/m", "ef_ev_per_atom": 0.173}